No. 1
Pa4Sb2O | PBE | optimized geometry

abc: 4.6257 4.6257 15.8728
angles: 90.00 90.00 90.00
Space group I4/mmm (No. 139)
Inequivalent atoms, fractional coordinates:
Pa: 0.0000 0.0000 0.1575 x4
Pa: 0.0000 0.5000 0.0000 x4
Sb: 0.0000 0.0000 0.3541 x4
O: 0.0000 0.0000 0.0000 x2

## Properties
E_form (uncorrected) in eV/atom: -0.914

No. 2
HfW3S | PBE | optimized geometry

abc: 4.8393 4.8393 4.8393
angles: 90.00 90.00 90.00
Space group Pm-3m (No. 221)
Inequivalent atoms, fractional coordinates:
Hf: 0.0000 0.0000 0.0000 x1
W: 0.0000 0.0000 0.5000 x3
S: 0.5000 0.5000 0.5000 x1

## Properties
ΔE to the lowest computed polymorph in eV per formula unit: 11.37
E_form (uncorrected) in eV/atom: 2.823

No. 3
LaThIrRh | PBE | optimized geometry

abc: 7.1505 7.1505 7.1505
angles: 90.00 90.00 90.00
Space group F-43m (No. 216)
Inequivalent atoms, fractional coordinates:
La: 0.0000 0.0000 0.0000 x4
Th: 0.0000 0.0000 0.5000 x4
Ir: 0.2500 0.2500 0.7500 x4
Rh: 0.2500 0.2500 0.2500 x4

## Properties
Formation energy in eV per atom: -0.70

No. 4
LiEuH3 | PBE | optimized geometry

abc: 3.7031 3.7031 3.7031
angles: 90.00 90.00 90.00
Space group Pm-3m (No. 221)
Inequivalent atoms, fractional coordinates:
Li: 0.0000 0.0000 0.0000 x1
Eu: 0.5000 0.5000 0.5000 x1
H: 0.0000 0.0000 0.5000 x3

## Properties
VASP energy in eV per atom: -4.9797

No. 5
Pa2PPb | PBE | optimized geometry

abc: 4.1182 4.1182 21.4057
angles: 90.00 90.00 120.00
Space group R-3m (No. 166, hexagonal axes)
Inequivalent atoms, fractional coordinates:
Pa: 0.0000 0.0000 0.2357 x6
P: 0.0000 0.0000 0.5000 x3
Pb: 0.0000 0.0000 0.0000 x3

## Properties
ΔE to the lowest computed polymorph in eV per formula unit: 0.01
Formation energy in eV per atom: -0.51

No. 6
DySbH | PBE | optimized geometry

abc: 4.2488 7.9209 7.3938
angles: 90.00 90.00 90.00
Space group Imm2 (No. 44)
Inequivalent atoms, fractional coordinates:
Dy: 0.0000 0.0000 0.0000 x2
Dy: 0.0000 0.5000 0.0156 x2
Sb: 0.0000 0.2560 0.6763 x4
H: 0.0000 0.4473 0.3391 x4

## Properties
ΔE to the lowest computed polymorph in eV per formula unit: 0.34

No. 7
Zr3PW | PBE | optimized geometry

abc: 5.0533 5.0533 5.0533
angles: 90.00 90.00 90.00
Space group Pm-3m (No. 221)
Inequivalent atoms, fractional coordinates:
Zr: 0.0000 0.0000 0.5000 x3
P: 0.5000 0.5000 0.5000 x1
W: 0.0000 0.0000 0.0000 x1

## Properties
ΔE to the lowest computed polymorph in eV per formula unit: 3.84
Formation energy in eV per atom: 0.95

No. 8
KLiTlSb | PBE | optimized geometry

abc: 7.7435 7.7435 7.7435
angles: 90.00 90.00 90.00
Space group F-43m (No. 216)
Inequivalent atoms, fractional coordinates:
K: 0.0000 0.0000 0.0000 x4
Li: 0.0000 0.0000 0.5000 x4
Tl: 0.2500 0.2500 0.7500 x4
Sb: 0.2500 0.2500 0.2500 x4

## Properties
ΔE to the lowest computed polymorph in eV per formula unit: 0.55
E_form (uncorrected) in eV/atom: -0.249

No. 9
MgGa4 | PBE | optimized geometry

abc: 5.0880 5.0880 5.0880
angles: 90.00 90.00 90.00
Space group Pm-3m (No. 221)
Inequivalent atoms, fractional coordinates:
Mg: 0.0000 0.0000 0.0000 x1
Ga: 0.0000 0.0000 0.5000 x3
Ga: 0.5000 0.5000 0.5000 x1

## Properties
ΔE to the lowest computed polymorph in eV per formula unit: 2.73
Formation energy in eV per atom: 0.49

No. 10
Tb2Pr5YSc | PBE | optimized geometry

abc: 5.4305 22.0514 10.3086
angles: 90.00 90.00 90.00
Space group Cmcm (No. 63)
Inequivalent atoms, fractional coordinates:
Tb: 0.0000 0.1155 0.0020 x8
Pr: 0.0000 0.0006 0.7500 x4
Pr: 0.0000 0.2779 0.5620 x8
Pr: 0.0000 0.3727 0.2500 x4
Pr: 0.0000 0.5000 0.0000 x4
Y: 0.0000 0.3977 0.7500 x4
Sc: 0.0000 0.2119 0.2500 x4

## Properties
Formation energy in eV per atom: 0.12

No. 11
NaSrScGe2 | PBE | optimized geometry

abc: 5.6967 5.6967 5.5047
angles: 90.00 90.00 90.00
Space group P4/mmm (No. 123)
Inequivalent atoms, fractional coordinates:
Na: 0.0000 0.0000 0.0000 x1
Sr: 0.5000 0.5000 0.5000 x1
Sc: 0.5000 0.5000 0.0000 x1
Ge: 0.0000 0.5000 0.5000 x2

## Properties
Formation energy in eV per atom: 0.96

No. 12
RbGeP | PBE | optimized geometry

abc: 3.8452 3.8452 6.4867
angles: 90.00 90.00 120.00
Space group P3m1 (No. 156)
Inequivalent atoms, fractional coordinates:
Rb: 0.0000 0.0000 0.0000 x1
Ge: 0.3333 0.6667 0.4392 x1
P: 0.6667 0.3333 0.6135 x1

## Properties
Formation energy in eV per atom: -0.24

No. 13
BaCoAu2 | PBE | optimized geometry

abc: 4.3872 5.9807 7.9310
angles: 90.00 90.00 90.00
Space group Immm (No. 71)
Inequivalent atoms, fractional coordinates:
Ba: 0.0000 0.0000 0.0000 x2
Co: 0.0000 0.0000 0.5000 x2
Au: 0.0000 0.5000 0.1811 x4

## Properties
ΔE to the lowest computed polymorph in eV per formula unit: 0.88
Formation energy in eV per atom: 0.03

No. 14
CsRbInI6 | PBE | optimized geometry

abc: 9.0977 15.7613 7.1600
angles: 90.00 90.05 90.00
Space group C2 (No. 5)
Inequivalent atoms, fractional coordinates:
Cs: 0.0000 0.0000 0.0000 x2
Rb: 0.0000 0.6666 0.5000 x2
In: 0.0000 0.3332 0.0000 x2
I: 0.1209 0.4708 0.7663 x4
I: 0.1453 0.2039 0.7659 x4
I: 0.2329 0.8252 0.7664 x4

## Properties
E_form (uncorrected) in eV/atom: -0.776

No. 15
Y3Ho2Tm3 | PBE | optimized geometry

abc: 9.4553 9.4553 9.9935
angles: 90.00 90.00 120.00
Space group R32 (No. 155, hexagonal axes)
Inequivalent atoms, fractional coordinates:
Y: 0.0000 0.7145 0.0000 x9
Ho: 0.0000 0.0000 0.3095 x6
Tm: 0.0000 0.3118 0.5000 x9

## Properties
ΔE to the lowest computed polymorph in eV per formula unit: 0.31
Formation energy in eV per atom: 0.14

No. 16
CeZnCdIn | PBE | optimized geometry

abc: 5.0745 5.0745 7.1973
angles: 90.00 90.00 90.00
Space group I-4m2 (No. 119)
Inequivalent atoms, fractional coordinates:
Ce: 0.0000 0.0000 0.0000 x2
Zn: 0.0000 0.5000 0.7500 x2
Cd: 0.0000 0.5000 0.2500 x2
In: 0.0000 0.0000 0.5000 x2

## Properties
ΔE to the lowest computed polymorph in eV per formula unit: 0.00
Formation energy in eV per atom: -0.24

No. 17
LiSmHfRu | PBE | optimized geometry

abc: 6.8005 6.8005 6.8005
angles: 90.00 90.00 90.00
Space group F-43m (No. 216)
Inequivalent atoms, fractional coordinates:
Li: 0.0000 0.0000 0.0000 x4
Sm: 0.2500 0.2500 0.7500 x4
Hf: 0.2500 0.2500 0.2500 x4
Ru: 0.0000 0.0000 0.5000 x4

## Properties
Formation energy in eV per atom: -0.18

No. 18
Sm3Pd5Au | PBE | optimized geometry

abc: 8.4899 8.4899 11.0757
angles: 90.00 90.00 90.00
Space group I4/mcm (No. 140)
Inequivalent atoms, fractional coordinates:
Sm: 0.0000 0.0000 0.2500 x4
Sm: 0.1279 0.3721 0.0000 x8
Pd: 0.0000 0.0000 0.0000 x4
Pd: 0.1951 0.3049 0.3628 x16
Au: 0.0000 0.5000 0.2500 x4

## Properties
ΔE to the lowest computed polymorph in eV per formula unit: 2.33
Formation energy in eV per atom: -0.50

No. 19
InFePS2 | PBE | optimized geometry

abc: 4.6585 4.6585 4.1944
angles: 90.00 90.00 90.00
Space group P4/mmm (No. 123)
Inequivalent atoms, fractional coordinates:
In: 0.0000 0.0000 0.0000 x1
Fe: 0.5000 0.5000 0.5000 x1
P: 0.5000 0.5000 0.0000 x1
S: 0.0000 0.5000 0.5000 x2

## Properties
ΔE to the lowest computed polymorph in eV per formula unit: 0.00
E_form (uncorrected) in eV/atom: 0.239

No. 20
TbAl4Ni2 | PBE | optimized geometry

abc: 16.8643 4.1403 6.4079
angles: 90.00 90.00 90.00
Space group Pnma (No. 62)
Inequivalent atoms, fractional coordinates:
Tb: 0.1385 0.2500 0.0174 x4
Al: 0.0323 0.7500 0.8324 x4
Al: 0.0729 0.2500 0.5034 x4
Al: 0.1873 0.7500 0.3253 x4
Al: 0.1967 0.7500 0.7279 x4
Ni: 0.0397 0.7500 0.2439 x4
Ni: 0.2167 0.2500 0.5291 x4

## Properties
ΔE to the lowest computed polymorph in eV per formula unit: 0.00
Formation energy in eV per atom: -0.58